# NbBiSb2I, single point on PBEsol structure, DFT meta-GGA SCAN
data_NbBiSb2I
_cell_length_a 5.705
_cell_length_b 5.705
_cell_length_c 5.781
_cell_angle_alpha 90.00
_cell_angle_beta 90.00
_cell_angle_gamma 90.00
_space_group_name_H-M_alt 'P 1'
_space_group_IT_number 1
loop_
_space_group_symop_operation_xyz
'x,y,z'
loop_
_atom_site_label
_atom_site_type_symbol
_atom_site_fract_x
_atom_site_fract_y
_atom_site_fract_z
Nb1 Nb 0.500 0.500 0.500
I1 I 0.000 0.000 0.500
Bi1 Bi 0.000 0.000 0.000
Sb1 Sb 0.500 0.000 0.000
Sb2 Sb 0.000 0.500 0.000
# Mass density: 5.93 g cm⁻³
# Symmetry: P4/mmm, No. 123
# DOS(E_F): 0.852 states/eV/atom
# Formation energy from raw total energies: 1378 meV/atom



# TcAsSe2N, single point on PBEsol structure, DFT meta-GGA SCAN
data_TcAsSe2N
_cell_length_a 4.224
_cell_length_b 4.172
_cell_length_c 4.172
_cell_angle_alpha 90.00
_cell_angle_beta 90.00
_cell_angle_gamma 90.00
_space_group_name_H-M_alt 'P 1'
_space_group_IT_number 1
loop_
_space_group_symop_operation_xyz
'x,y,z'
loop_
_atom_site_label
_atom_site_type_symbol
_atom_site_fract_x
_atom_site_fract_y
_atom_site_fract_z
N1 N 0.000 0.000 0.000
Se1 Se 0.000 0.500 0.000
As1 As 0.500 0.000 0.000
Se2 Se 0.000 0.000 0.500
Tc1 Tc 0.500 0.500 0.500
# Mass density: 7.79 g cm⁻³
# Symmetry: P4/mmm, No. 123
# DOS(E_F): 0.550 states/eV/atom
# Formation energy from raw total energies: 1117 meV/atom



# Y3In, single point on PBEsol structure, DFT meta-GGA SCAN
data_Y3In
_cell_length_a 5.411
_cell_length_b 6.825
_cell_length_c 6.825
_cell_angle_alpha 120.00
_cell_angle_beta 90.00
_cell_angle_gamma 90.00
_space_group_name_H-M_alt 'P 1'
_space_group_IT_number 1
loop_
_space_group_symop_operation_xyz
'x,y,z'
loop_
_atom_site_label
_atom_site_type_symbol
_atom_site_fract_x
_atom_site_fract_y
_atom_site_fract_z
Y1 Y 0.250 0.827 0.655
In1 In 0.750 0.667 0.333
Y2 Y 0.750 0.173 0.827
Y3 Y 0.250 0.345 0.173
Y4 Y 0.750 0.173 0.345
Y5 Y 0.250 0.827 0.173
Y6 Y 0.750 0.655 0.827
In2 In 0.250 0.333 0.667
# Mass density: 5.81 g cm⁻³
# Calculated total energy: -29.601 eV per atom
# Symmetry: P6_3/mmc, No. 194
# DOS(E_F): 0.984 states/eV/atom



- Which of these has the highest DOS(E_F)?
  Y3In



- What is the mass density in the second record?
  7.79 g cm⁻³